(1)
The following is a DFT calculation (PBE) of a geometry-optimized HoTlZnTe3 structure.

a b c (Å): 12.508 4.481 13.365
angles (deg): 90.00 90.00 90.00
Sites, in units of the cell vectors:
1 Te 0.037 0.500 0.845
2 Te 0.096 0.000 0.435
3 Te 0.537 0.500 0.655
4 Te 0.963 0.000 0.155
5 Te 0.404 0.500 0.935
6 Te 0.726 0.500 0.312
7 Te 0.226 0.500 0.188
8 Te 0.596 0.000 0.065
9 Te 0.774 0.000 0.812
10 Te 0.904 0.500 0.565
11 Te 0.463 0.000 0.345
12 Te 0.274 0.000 0.688
13 Tl 0.681 0.000 0.507
14 Tl 0.819 0.500 0.007
15 Tl 0.181 0.000 0.993
16 Tl 0.319 0.500 0.493
17 Ho 0.025 0.000 0.682
18 Ho 0.525 0.000 0.818
19 Ho 0.475 0.500 0.182
20 Ho 0.975 0.500 0.318
21 Zn 0.756 0.000 0.200
22 Zn 0.256 0.000 0.300
23 Zn 0.244 0.500 0.800
24 Zn 0.744 0.500 0.700

Computed properties:
* crystal system: orthorhombic

***

(2)
The following is a DFT calculation (PBE) of a geometry-optimized HoTlZnTe3 structure.

a b c (Å): 4.343 8.052 11.547
angles (deg): 90.00 90.00 74.36
Sites, in units of the cell vectors:
1 Te 0.928 0.143 0.250
2 Te 0.634 0.732 0.441
3 Te 0.366 0.268 0.941
4 Te 0.634 0.732 0.059
5 Te 0.366 0.268 0.559
6 Te 0.072 0.857 0.750
7 Tl 0.755 0.490 0.750
8 Tl 0.245 0.510 0.250
9 Zn 0.537 0.925 0.250
10 Zn 0.463 0.075 0.750
11 Ho 0.000 0.000 0.500
12 Ho 0.000 0.000 0.000

Computed properties:
* crystal system: orthorhombic

***

(3)
The following is a DFT calculation (PBE) of a geometry-optimized HoTlZnTe3 structure.

a b c (Å): 8.837 4.349 11.175
angles (deg): 90.00 109.13 90.00
Sites, in units of the cell vectors:
1 Ho 0.811 0.750 0.357
2 Ho 0.189 0.250 0.643
3 Te 0.056 0.250 0.356
4 Te 0.268 0.250 0.943
5 Te 0.944 0.750 0.644
6 Te 0.732 0.750 0.057
7 Te 0.441 0.750 0.658
8 Te 0.559 0.250 0.342
9 Tl 0.766 0.250 0.793
10 Tl 0.234 0.750 0.207
11 Zn 0.421 0.750 0.889
12 Zn 0.579 0.250 0.111

Computed properties:
* crystal system: monoclinic

***

(4)
The following is a DFT calculation (PBE) of a geometry-optimized Ho3Tm5Te structure.

a b c (Å): 9.117 9.117 3.727
angles (deg): 90.00 90.00 120.00
Sites, in units of the cell vectors:
1 Ho 0.000 0.615 0.000
2 Ho 0.615 0.000 0.000
3 Ho 0.385 0.385 0.000
4 Tm 0.725 0.725 0.500
5 Tm 0.333 0.667 0.500
6 Tm 0.000 0.275 0.500
7 Tm 0.275 0.000 0.500
8 Tm 0.667 0.333 0.500
9 Te 0.000 0.000 0.000

Computed properties:
* crystal system: hexagonal

***

(5)
The following is a DFT calculation (PBE) of a geometry-optimized Ho3Tm5Te structure.

a b c (Å): 9.126 9.126 3.737
angles (deg): 90.00 90.00 120.00
Sites, in units of the cell vectors:
1 Tm 0.614 0.000 0.000
2 Tm 0.000 0.614 0.000
3 Tm 0.667 0.333 0.500
4 Tm 0.333 0.667 0.500
5 Tm 0.386 0.386 0.000
6 Ho 0.277 0.000 0.500
7 Ho 0.723 0.723 0.500
8 Ho 0.000 0.277 0.500
9 Te 0.000 0.000 0.000

Computed properties:
* crystal system: hexagonal

***

(6)
The following is a DFT calculation (PBE) of a geometry-optimized HoTmTe2 structure.

a b c (Å): 4.310 4.310 6.102
angles (deg): 90.00 90.00 90.00
Sites, in units of the cell vectors:
1 Tm 0.500 0.500 0.000
2 Ho 0.000 0.000 0.500
3 Te 0.500 0.500 0.500
4 Te 0.000 0.000 0.000

Computed properties:
* crystal system: tetragonal

***

(7)
The following is a DFT calculation (PBE) of a geometry-optimized HoTmTe2 structure.

a b c (Å): 7.617 7.617 4.073
angles (deg): 90.00 90.00 90.00
Sites, in units of the cell vectors:
1 Tm 0.000 0.000 0.000
2 Tm 0.500 0.500 0.000
3 Te 0.786 0.714 0.691
4 Te 0.714 0.214 0.309
5 Te 0.214 0.286 0.691
6 Te 0.286 0.786 0.309
7 Ho 0.000 0.500 0.193
8 Ho 0.500 0.000 0.807

Computed properties:
* crystal system: tetragonal

***

(8)
The following is a DFT calculation (PBE) of a geometry-optimized Ho2Tm6Te structure.

a b c (Å): 9.090 9.090 3.728
angles (deg): 90.00 90.00 120.00
Sites, in units of the cell vectors:
1 Tm 0.725 0.725 0.500
2 Tm 0.384 0.384 0.000
3 Tm 0.000 0.616 0.000
4 Tm 0.000 0.275 0.500
5 Tm 0.616 0.000 0.000
6 Tm 0.275 0.000 0.500
7 Ho 0.333 0.667 0.500
8 Ho 0.667 0.333 0.500
9 Te 0.000 0.000 0.000

Computed properties:
* crystal system: hexagonal

***

(9)
The following is a DFT calculation (PBE) of a geometry-optimized Ho5Tm3Te structure.

a b c (Å): 9.125 9.125 3.739
angles (deg): 90.00 90.00 120.00
Sites, in units of the cell vectors:
1 Ho 0.384 0.384 0.000
2 Ho 0.000 0.616 0.000
3 Ho 0.667 0.333 0.500
4 Ho 0.333 0.667 0.500
5 Ho 0.616 0.000 0.000
6 Tm 0.000 0.274 0.500
7 Tm 0.274 0.000 0.500
8 Tm 0.726 0.726 0.500
9 Te 0.000 0.000 0.000

Computed properties:
* crystal system: hexagonal

***

(10)
The following is a DFT calculation (PBE) of a geometry-optimized Ho6Tm2Te structure.

a b c (Å): 9.158 9.158 3.741
angles (deg): 90.00 90.00 120.00
Sites, in units of the cell vectors:
1 Ho 0.000 0.616 0.000
2 Ho 0.000 0.275 0.500
3 Ho 0.725 0.725 0.500
4 Ho 0.384 0.384 0.000
5 Ho 0.275 0.000 0.500
6 Ho 0.616 0.000 0.000
7 Tm 0.667 0.333 0.500
8 Tm 0.333 0.667 0.500
9 Te 0.000 0.000 0.000

Computed properties:
* crystal system: hexagonal

***

(11)
The following is a DFT calculation (PBE) of a geometry-optimized Ho5Tm3Te structure.

a b c (Å): 9.131 9.131 3.745
angles (deg): 90.00 90.00 120.00
Sites, in units of the cell vectors:
1 Te 0.000 0.000 0.000
2 Ho 0.000 0.275 0.500
3 Ho 0.725 0.725 0.500
4 Ho 0.275 0.000 0.500
5 Ho 0.667 0.333 0.500
6 Ho 0.333 0.667 0.500
7 Tm 0.384 0.384 0.000
8 Tm 0.000 0.616 0.000
9 Tm 0.616 0.000 0.000

Computed properties:
* crystal system: hexagonal

***

(12)
The following is a DFT calculation (PBE) of a geometry-optimized Y3Ho3Tm2Te structure.

a b c (Å): 9.203 9.203 3.756
angles (deg): 90.00 90.00 120.00
Sites, in units of the cell vectors:
1 Te 0.000 0.000 0.000
2 Tm 0.333 0.667 0.500
3 Tm 0.667 0.333 0.500
4 Ho 0.615 0.000 0.000
5 Ho 0.385 0.385 0.000
6 Ho 0.000 0.615 0.000
7 Y 0.274 0.000 0.500
8 Y 0.726 0.726 0.500
9 Y 0.000 0.274 0.500

Computed properties:
* crystal system: hexagonal

***

(13)
The following is a DFT calculation (PBE) of a geometry-optimized Y2Ho3Tm3Te structure.

a b c (Å): 9.172 9.172 3.756
angles (deg): 90.00 90.00 120.00
Sites, in units of the cell vectors:
1 Tm 0.617 0.000 0.000
2 Tm 0.000 0.617 0.000
3 Tm 0.383 0.383 0.000
4 Ho 0.000 0.275 0.500
5 Ho 0.275 0.000 0.500
6 Ho 0.725 0.725 0.500
7 Y 0.333 0.667 0.500
8 Y 0.667 0.333 0.500
9 Te 0.000 0.000 0.000

Computed properties:
* crystal system: hexagonal

***

(14)
The following is a DFT calculation (PBE) of a geometry-optimized HoTeW structure.

a b c (Å): 4.709 4.709 4.709
angles (deg): 60.00 60.00 60.00
Sites, in units of the cell vectors:
1 Te 0.000 0.000 0.000
2 W 0.750 0.750 0.750
3 Ho 0.250 0.250 0.250

Computed properties:
* crystal system: cubic

***

(15)
The following is a DFT calculation (PBE) of a geometry-optimized Y3Ho5Te structure.

a b c (Å): 9.209 9.209 3.784
angles (deg): 90.00 90.00 120.00
Sites, in units of the cell vectors:
1 Y 0.000 0.616 0.000
2 Y 0.616 0.000 0.000
3 Y 0.384 0.384 0.000
4 Ho 0.726 0.726 0.500
5 Ho 0.333 0.667 0.500
6 Ho 0.274 0.000 0.500
7 Ho 0.667 0.333 0.500
8 Ho 0.000 0.274 0.500
9 Te 0.000 0.000 0.000

Computed properties:
* crystal system: hexagonal

***

(16)
The following is a DFT calculation (PBE) of a geometry-optimized Y3Ho5Te structure.

a b c (Å): 9.210 9.210 3.772
angles (deg): 90.00 90.00 120.00
Sites, in units of the cell vectors:
1 Ho 0.616 0.000 0.000
2 Ho 0.000 0.616 0.000
3 Ho 0.667 0.333 0.500
4 Ho 0.333 0.667 0.500
5 Ho 0.384 0.384 0.000
6 Y 0.726 0.726 0.500
7 Y 0.000 0.274 0.500
8 Y 0.274 0.000 0.500
9 Te 0.000 0.000 0.000

Computed properties:
* crystal system: hexagonal

***

(17)
The following is a DFT calculation (PBE) of a geometry-optimized YHoTe structure.

a b c (Å): 5.050 5.050 5.050
angles (deg): 60.00 60.00 60.00
Sites, in units of the cell vectors:
1 Ho 0.250 0.250 0.250
2 Te 0.000 0.000 0.000
3 Y 0.750 0.750 0.750

Computed properties:
* crystal system: cubic

***

(18)
The following is a DFT calculation (PBE) of a geometry-optimized Y2Ho6Te structure.

a b c (Å): 9.212 9.212 3.772
angles (deg): 90.00 90.00 120.00
Sites, in units of the cell vectors:
1 Ho 0.000 0.617 0.000
2 Ho 0.726 0.726 0.500
3 Ho 0.274 0.000 0.500
4 Ho 0.383 0.383 0.000
5 Ho 0.617 0.000 0.000
6 Ho 0.000 0.274 0.500
7 Te 0.000 0.000 0.000
8 Y 0.333 0.667 0.500
9 Y 0.667 0.333 0.500

Computed properties:
* crystal system: hexagonal

***

(19)
The following is a DFT calculation (PBE) of a geometry-optimized HoZnTe structure.

a b c (Å): 4.990 4.990 4.990
angles (deg): 60.00 60.00 60.00
Sites, in units of the cell vectors:
1 Te 0.250 0.250 0.250
2 Zn 0.750 0.750 0.750
3 Ho 0.000 0.000 0.000

Computed properties:
* crystal system: cubic

***

(20)
The following is a DFT calculation (PBE) of a geometry-optimized Ho2ZnTe4 structure.

a b c (Å): 8.024 8.024 8.024
angles (deg): 132.73 132.73 69.08
Sites, in units of the cell vectors:
1 Te 0.659 0.621 0.533
2 Te 0.874 0.341 0.962
3 Te 0.088 0.126 0.467
4 Te 0.379 0.912 0.038
5 Ho 0.250 0.750 0.500
6 Ho 0.500 0.500 0.000
7 Zn 0.000 0.000 0.000

Computed properties:
* crystal system: tetragonal

***

Number 1: VASP energy -3.702 eV/atom, magnetization 0.00 μB/atom. Number 2: VASP energy -3.770 eV/atom, magnetization 0.00 μB/atom. Number 3: VASP energy -3.750 eV/atom, magnetization 0.00 μB/atom. Number 4: VASP energy -4.638 eV/atom, magnetization 0.01 μB/atom. Number 5: VASP energy -4.640 eV/atom, magnetization 0.00 μB/atom. Number 6: VASP energy -5.037 eV/atom, magnetization 0.00 μB/atom. Number 7: VASP energy -4.883 eV/atom, magnetization 0.06 μB/atom. Number 8: VASP energy -4.626 eV/atom, magnetization 0.00 μB/atom. Number 9: VASP energy -4.660 eV/atom, magnetization 0.00 μB/atom. Number 10: VASP energy -4.674 eV/atom, magnetization 0.00 μB/atom. Number 11: VASP energy -4.662 eV/atom, magnetization 0.01 μB/atom. Number 12: VASP energy -5.316 eV/atom, magnetization 0.01 μB/atom. Number 13: VASP energy -5.078 eV/atom, magnetization 0.00 μB/atom. Number 14: VASP energy -6.252 eV/atom, magnetization 0.40 μB/atom. Number 15: VASP energy -5.335 eV/atom, magnetization 0.01 μB/atom. Number 16: VASP energy -5.339 eV/atom, magnetization 0.00 μB/atom. Number 17: VASP energy -5.211 eV/atom, magnetization 0.31 μB/atom. Number 18: VASP energy -5.112 eV/atom, magnetization 0.00 μB/atom. Number 19: VASP energy -3.377 eV/atom, magnetization 0.02 μB/atom. Number 20: VASP energy -4.143 eV/atom, magnetization 0.00 μB/atom.